1.
26
Lattice="3.6850 0.0000 0.0000 0.0000 11.9192 0.0000 0.0000 0.0000 21.1290" Properties=species:S:1:pos:R:3 comment="Tb2Pr6Nd5, optimized geometry, DFT GGA-PBE" formation_energy_ev_per_atom=0.089 vol_a3_per_atom=35.69 total_magnetization_mub_per_atom=0.000 pbc="T T T"
Tb 0.0000 3.9373 6.1034
Tb 0.0000 7.9819 15.0255
Tb 0.0000 9.8969 4.4611
Tb 0.0000 2.0223 16.6679
Pr 0.0000 0.9826 7.7714
Pr 0.0000 10.9366 13.3576
Pr 0.0000 6.9422 2.7931
Pr 0.0000 4.9770 18.3359
Pr 1.8425 3.8725 2.9019
Pr 1.8425 8.0467 18.2271
Pr 1.8425 9.8321 7.6626
Pr 1.8425 2.0871 13.4664
Pr 0.0000 6.7035 8.8699
Pr 0.0000 5.2157 12.2591
Pr 0.0000 0.7439 1.6946
Pr 0.0000 11.1753 19.4343
Nd 1.8425 3.6065 9.4019
Nd 1.8425 8.3127 11.7271
Nd 1.8425 9.5661 1.1626
Nd 1.8425 2.3531 19.9664
Nd 1.8425 6.9967 5.7799
Nd 1.8425 4.9225 15.3491
Nd 1.8425 1.0371 4.7846
Nd 1.8425 10.8821 16.3444
Nd 1.8425 5.9596 0.0000
Nd 1.8425 0.0000 10.5645

---

2.
16
Lattice="5.1901 0.0000 0.0000 0.0000 7.3471 0.0000 0.0000 0.0000 14.7083" Properties=species:S:1:pos:R:3 comment="TbPr2Nd5, optimized geometry, DFT GGA-PBE" formation_energy_ev_per_atom=0.013 vol_a3_per_atom=35.05 total_magnetization_mub_per_atom=0.000 pbc="T T T"
Tb 0.0000 0.0000 7.3541
Tb 0.0000 3.6735 0.0000
Pr 2.5950 1.8318 9.1799
Pr 2.5950 5.5153 5.5284
Pr 2.5950 1.8418 1.8257
Pr 2.5950 5.5053 12.8825
Nd 0.0000 0.0000 0.0000
Nd 0.0000 3.6735 7.3541
Nd 0.0000 3.6717 11.0472
Nd 0.0000 3.6754 3.6610
Nd 0.0000 0.0018 3.6931
Nd 0.0000 7.3453 11.0152
Nd 2.5950 1.8389 12.8802
Nd 2.5950 5.5082 1.8281
Nd 2.5950 1.8347 5.5260
Nd 2.5950 5.5124 9.1822